First-principles (GGA-PBE) data for a geometry-optimized Ti2SnHOs structure, as listed in Alexandria via LeMat-Bulk.

The structure belongs to space group P4/mmm (No. 123); the cell edges are 4.120, 4.120 and 4.016 Å and the angles 90.00°, 90.00° and 90.00°. The distinct sites, in fractional coordinates, are Ti at (0.000, 0.500, 0.000), Sn at (0.000, 0.000, 0.500), H at (0.500, 0.500, 0.000) and Os at (0.500, 0.500, 0.500).

Its theoretical density is 9.881 g cm⁻³. For the total energy, the calculation gives -7.181 eV/atom.